(1)
Entry from Alexandria via LeMat-Bulk: a relaxed structure of Be2CoSe (GGA-PBEsol).

Its total energy is -4.80 eV/atom. Its energy relative to the elements, uncorrected is 0.099 eV/atom.

The structure belongs to space group P4/mmm (No. 123); the cell edges are 2.641, 2.641 and 7.084 Å and the angles 90.00°, 90.00° and 90.00°. The asymmetric unit holds Be at (0.000, 0.000, 0.158), Co at (0.500, 0.500, 0.000) and Se at (0.500, 0.500, 0.500).


(2)
Entry from Alexandria via LeMat-Bulk: a relaxed structure of BeCoSe (GGA-PBEsol).

Its total energy is -4.97 eV/atom. Its energy relative to the elements, uncorrected is 0.224 eV/atom.

The structure belongs to space group F-43m (No. 216); the cell edges are 5.330, 5.330 and 5.330 Å and the angles 90.00°, 90.00° and 90.00°. The asymmetric unit holds Be at (0.000, 0.000, 0.000), Co at (0.000, 0.000, 0.500) and Se at (0.250, 0.250, 0.750).


(3)
Entry from Alexandria via LeMat-Bulk: a relaxed structure of BeCo2Si2 (GGA-PBEsol).

Its total energy is -6.54 eV/atom. Its energy relative to the elements, uncorrected is -0.349 eV/atom.

The structure belongs to space group P4/mbm (No. 127); the cell edges are 6.345, 6.345 and 2.679 Å and the angles 90.00°, 90.00° and 90.00°. The asymmetric unit holds Be at (0.000, 0.000, 0.000), Co at (0.147, 0.353, 0.000) and Si at (0.151, 0.651, 0.500).